1.
The following is a DFT calculation (SCAN) of a crystal of Sc2CuAs relaxed with PBEsol.

Unit cell a=3.2244 b=3.2244 c=7.1208 alpha=90.00 beta=90.00 gamma=90.00
Element x y z (fractional)
Sc1 0.5000 0.5000 0.2890
Cu1 0.5000 0.5000 0.7228
Sc2 0.0000 0.0000 0.9450
As1 0.0000 0.0000 0.5431

Values from the calculation:
DFT total energy: -65.1 eV for the cell shown
Symmetry: No. 99

2.
The following is a DFT calculation (SCAN) of a crystal of Sc2CuAs relaxed with PBEsol.

Unit cell a=3.4814 b=4.4468 c=4.4468 alpha=90.00 beta=90.00 gamma=90.00
Element x y z (fractional)
As1 0.5000 0.0000 0.0000
Cu1 0.5000 0.5000 0.5000
Sc1 0.0000 0.5000 0.0000
Sc2 0.0000 0.0000 0.5000

Values from the calculation:
DFT total energy: -66.6 eV for the cell shown
Symmetry: No. 123

3.
The following is a DFT calculation (SCAN) of a crystal of Cu3AsSe4 relaxed with PBEsol.

Unit cell a=5.5350 b=5.5350 c=6.7323 alpha=114.27 beta=114.27 gamma=90.00
Element x y z (fractional)
Cu1 0.5000 0.5000 0.0000
As1 0.0000 0.0000 0.0000
Se1 0.3879 0.3879 0.2606
Se2 0.8728 0.8728 0.2606
Cu2 0.7500 0.2500 0.5000
Cu3 0.2500 0.7500 0.5000
Se3 0.1272 0.6121 0.7394
Se4 0.6121 0.1272 0.7394

Values from the calculation:
Formation energy from raw total energies: -1.40 eV per formula unit
Symmetry: No. 121

4.
The following is a DFT calculation (SCAN) of a crystal of CuAsSe relaxed with PBEsol.

Unit cell a=2.7601 b=2.7601 c=7.1505 alpha=101.13 beta=101.13 gamma=90.00
Element x y z (fractional)
Se1 0.3071 0.3071 0.6142
Cu1 0.6612 0.6612 0.3225
As1 0.0317 0.0317 0.0633

Values from the calculation:
Formation energy from raw total energies: 0.82 eV per formula unit
Symmetry: No. 107

5.
The following is a DFT calculation (SCAN) of a crystal of Cu7As6Se13 relaxed with PBEsol.

Unit cell a=8.5655 b=8.5655 c=8.5655 alpha=102.50 beta=102.50 gamma=102.50
Element x y z (fractional)
Se1 0.7774 0.3304 0.9606
Se2 0.3421 0.1463 0.4397
Cu1 0.3747 0.5897 0.2669
Se3 0.5740 0.7920 0.5054
Cu2 0.1448 0.9323 0.2046
Cu3 0.7518 0.7518 0.7518
As1 0.5370 0.0675 0.6359
Se4 0.7458 0.0878 0.2869
Cu4 0.5897 0.2669 0.3747
As2 0.0675 0.6359 0.5370
Cu5 0.2046 0.1448 0.9323
Se5 0.1463 0.4397 0.3421
Cu6 0.2669 0.3747 0.5897
Se6 0.0878 0.2869 0.7458
Se7 0.2869 0.7458 0.0878
As3 0.6359 0.5370 0.0675
Se8 0.7920 0.5054 0.5740
As4 0.9776 0.5095 0.8555
Se9 0.4397 0.3421 0.1463
As5 0.8555 0.9776 0.5095
Se10 0.5054 0.5740 0.7920
Se11 0.9606 0.7774 0.3304
Cu7 0.9323 0.2046 0.1448
As6 0.5095 0.8555 0.9776
Se12 0.9673 0.9673 0.9673
Se13 0.3304 0.9606 0.7774

Values from the calculation:
Formation energy from raw total energies: -1.72 eV per formula unit
Symmetry: No. 146

6.
The following is a DFT calculation (SCAN) of a crystal of CuAsSe relaxed with PBEsol.

Unit cell a=3.9326 b=5.5083 c=11.6367 alpha=90.00 beta=90.00 gamma=90.00
Element x y z (fractional)
As1 0.2500 0.1393 0.9825
Se1 0.2500 0.3449 0.1676
Cu1 0.7500 0.5839 0.1698
Se2 0.7500 0.8449 0.3324
Se3 0.7500 0.6551 0.8324
Se4 0.2500 0.1551 0.6676
Cu2 0.2500 0.0839 0.3302
Cu3 0.2500 0.4161 0.8302
As2 0.7500 0.6393 0.5175
Cu4 0.7500 0.9161 0.6698
As3 0.2500 0.3607 0.4825
As4 0.7500 0.8607 0.0175

Values from the calculation:
Formation energy from raw total energies: -0.48 eV per formula unit
Symmetry: No. 62

7.
The following is a DFT calculation (SCAN) of a crystal of CuAsSe relaxed with PBEsol.

Unit cell a=6.7361 b=11.6998 c=19.1638 alpha=90.00 beta=90.00 gamma=90.00
Element x y z (fractional)
Cu1 0.0203 0.3301 0.3046
As1 0.3218 0.0185 0.0169
Se1 0.6854 0.6670 0.9846
Se2 0.1498 0.8333 0.6527
Se3 0.1498 0.1667 0.8473
Se4 0.5212 0.1673 0.6813
As2 0.8477 0.5176 0.1463
As3 0.9974 0.0163 0.1839
Se5 0.1854 0.1670 0.5154
As4 0.8218 0.4815 0.0169
Cu2 0.6420 0.3283 0.9707
As5 0.4974 0.5163 0.3161
Se6 0.0212 0.6673 0.8187
Cu3 0.1904 0.1683 0.6389
As6 0.3218 0.9815 0.4831
Se7 0.4788 0.8327 0.3187
Cu4 0.1420 0.8283 0.5293
Cu5 0.8580 0.1717 0.4707
Se8 0.6498 0.6667 0.6527
As7 0.4974 0.4837 0.1839
As8 0.1523 0.4824 0.8537
As9 0.6782 0.0185 0.5169
Cu6 0.8096 0.8317 0.3611
Se9 0.8502 0.1667 0.3473
Cu7 0.3096 0.6683 0.3611
Cu8 0.0203 0.6699 0.1954
As10 0.8477 0.4824 0.3537
Se10 0.3146 0.3330 0.0154
Se11 0.1854 0.8330 0.9846
Se12 0.8502 0.8333 0.1527
Se13 0.4788 0.1673 0.1813
Se14 0.8146 0.1670 0.0154
Se15 0.8146 0.8330 0.4846
Se16 0.6854 0.3330 0.5154
As11 0.3477 0.9824 0.1463
Cu9 0.6904 0.3317 0.6389
Se17 0.3502 0.3333 0.3473
Se18 0.9788 0.3327 0.1813
Cu10 0.4797 0.8301 0.6954
As12 0.1782 0.4815 0.5169
As13 0.6523 0.0176 0.8537
Se19 0.3502 0.6667 0.1527
As14 0.1782 0.5185 0.9831
As15 0.0026 0.9837 0.8161
Se20 0.6498 0.3333 0.8473
As16 0.5026 0.4837 0.6839
Se21 0.5212 0.8327 0.8187
Cu11 0.9797 0.3301 0.8046
Se22 0.0212 0.3327 0.6813
Cu12 0.8580 0.8283 0.0293
Cu13 0.5203 0.1699 0.3046
Cu14 0.1420 0.1717 0.9707
Se23 0.9788 0.6673 0.3187
As17 0.9974 0.9837 0.3161
Cu15 0.1904 0.8317 0.8611
As18 0.6523 0.9824 0.6463
Cu16 0.4797 0.1699 0.8046
Se24 0.3146 0.6670 0.4846
Cu17 0.8096 0.1683 0.1389
As19 0.3477 0.0176 0.3537
Cu18 0.5203 0.8301 0.1954
As20 0.8218 0.5185 0.4831
Cu19 0.6420 0.6717 0.5293
Cu20 0.3580 0.6717 0.0293
Cu21 0.3096 0.3317 0.1389
Cu22 0.6904 0.6683 0.8611
As21 0.1523 0.5176 0.6463
As22 0.6782 0.9815 0.9831
Cu23 0.3580 0.3283 0.4707
As23 0.5026 0.5163 0.8161
Cu24 0.9797 0.6699 0.6954
As24 0.0026 0.0163 0.6839

Values from the calculation:
Formation energy from raw total energies: -0.47 eV per formula unit
Symmetry: No. 60

8.
The following is a DFT calculation (SCAN) of a crystal of Cu2As2Se relaxed with PBEsol.

Unit cell a=3.8474 b=3.8474 c=6.2644 alpha=107.88 beta=107.88 gamma=90.00
Element x y z (fractional)
As1 0.2500 0.7500 0.5000
Se1 0.0000 0.0000 0.0000
Cu1 0.3945 0.3945 0.7890
As2 0.7500 0.2500 0.5000
Cu2 0.6055 0.6055 0.2110

Values from the calculation:
Formation energy from raw total energies: 1.58 eV per formula unit
Symmetry: No. 139

9.
The following is a DFT calculation (SCAN) of a crystal of CuSn2AsSe relaxed with PBEsol.

Unit cell a=4.4681 b=5.1195 c=5.1195 alpha=90.00 beta=90.00 gamma=90.00
Element x y z (fractional)
Sn1 0.0000 0.0000 0.5000
Se1 0.5000 0.0000 0.0000
Sn2 0.0000 0.5000 0.0000
As1 0.5000 0.5000 0.5000
Cu1 0.0000 0.0000 0.0000

Values from the calculation:
Formation energy from raw total energies: 2.30 eV per formula unit
Symmetry: No. 123

10.
The following is a DFT calculation (SCAN) of a crystal of ZnCuAs2Se relaxed with PBEsol.

Unit cell a=4.6873 b=4.6873 c=4.8897 alpha=90.00 beta=90.00 gamma=90.00
Element x y z (fractional)
As1 0.0000 0.5000 0.0000
As2 0.5000 0.0000 0.0000
Cu1 0.5000 0.5000 0.5000
Zn1 0.0000 0.0000 0.0000
Se1 0.0000 0.0000 0.5000

Values from the calculation:
Formation energy from raw total energies: 4.87 eV per formula unit
Symmetry: No. 123

11.
The following is a DFT calculation (SCAN) of a crystal of ZrCuAs2Se relaxed with PBEsol.

Unit cell a=5.0447 b=5.1250 c=5.1250 alpha=90.00 beta=90.00 gamma=90.00
Element x y z (fractional)
As1 0.0000 0.5000 0.0000
Cu1 0.5000 0.5000 0.5000
Se1 0.5000 0.0000 0.0000
Zr1 0.0000 0.0000 0.0000
As2 0.0000 0.0000 0.5000

Values from the calculation:
Formation energy from raw total energies: 2.18 eV per formula unit
Symmetry: No. 123

12.
The following is a DFT calculation (SCAN) of a crystal of CuSiAs2 relaxed with PBEsol.

Unit cell a=4.4555 b=4.4555 c=4.4555 alpha=60.00 beta=60.00 gamma=60.00
Element x y z (fractional)
As1 0.2500 0.2500 0.2500
Cu1 0.0000 0.0000 0.0000
Si1 0.5000 0.5000 0.5000
As2 0.7500 0.7500 0.7500

Values from the calculation:
Formation energy from raw total energies: 2.05 eV per formula unit
Symmetry: No. 225